VASP calculation (GGA-PBEsol) on a relaxed structure of Al2CdAs.

Calculated values
Relative energy among the computed polymorphs: 0.002 eV/atom
Energy of formation from the pure elements: 118 meV/atom
Theoretical density: 5.4 g/cm³
VASP energy: -3.5031 eV/atom

a b c (Å): 3.1454 3.1454 7.4493
angles (deg): 90.00 90.00 90.00
With the nearest neighbours (Å) after each atom.
Space group P4/mmm (No. 123)
Asymmetric unit:
Al  0.0000  0.0000  0.2247  4 As 2.78, 4 Cd 3.03
Cd  0.5000  0.5000  0.5000  8 Al 3.03, 4 Cd 3.15
As  0.5000  0.5000  0.0000  8 Al 2.78